Entry 1:
This record from the Alexandria database describes a relaxed Nd4YCd3 crystal. The functional is PBE-GGA.

Values from the calculation:
space group	R-3m (166)
DOS(E_F)	9.5	states/eV/f.u.
ΔH_f (0 K)	-0.183	eV per atom

a = 9.6824 Å, b = 9.6824 Å, c = 9.6824 Å
α = 32.92°, β = 32.92°, γ = 32.92°
Last column: nearest neighbours and their distance in Å.
Atoms (fractional coordinates):
Nd (0.1177, 0.1177, 0.1177)  5 Cd 3.23-3.40, 3 Y 3.44
Nd (0.3708, 0.3708, 0.3708)  7 Cd 3.33-3.54, 1 Y 3.55
Nd (0.6292, 0.6292, 0.6292)  7 Cd 3.33-3.54, 1 Y 3.55
Nd (0.8823, 0.8823, 0.8823)  5 Cd 3.23-3.40, 3 Y 3.44
Y (0.5000, 0.5000, 0.5000)  8 Nd 3.44-3.55, 6 Cd 3.78
Cd (0.0000, 0.0000, 0.0000)  8 Nd 3.23-3.33
Cd (0.2417, 0.2417, 0.2417)  8 Nd 3.25-3.54
Cd (0.7583, 0.7583, 0.7583)  8 Nd 3.25-3.54



Entry 2:
This record from the Alexandria database describes a relaxed SrCd crystal. The functional is PBE-GGA.

Values from the calculation:
space group	I4/mmm (139)
DOS(E_F)	2.0	states/eV/f.u.
ΔH_f (0 K)	-0.236	eV per atom

a = 7.5658 Å, b = 7.5658 Å, c = 7.5658 Å
α = 98.47°, β = 98.47°, γ = 134.88°
Last column: nearest neighbours and their distance in Å.
Atoms (fractional coordinates):
Sr (0.0000, 0.2850, 0.2850)  6 Cd 3.48-3.52
Sr (0.0000, 0.7150, 0.7150)  6 Cd 3.48-3.52
Sr (0.2850, 0.0000, 0.2850)  6 Cd 3.48-3.52
Sr (0.7150, 0.0000, 0.7150)  6 Cd 3.48-3.52
Cd (0.3466, 0.3466, 0.6933)  2 Cd 3.03
Cd (0.3466, 0.6534, 0.0000)  2 Cd 3.03
Cd (0.6534, 0.3466, 0.0000)  2 Cd 3.03
Cd (0.6534, 0.6534, 0.3067)  2 Cd 3.03